(1)
TaCoTc2, single point on PBEsol structure, DFT meta-GGA SCAN; DOS(E_F) = 0.82 states/eV/atom; symmetry = No. 123; formation energy = -112.1 meV per atom; E above lowest polymorph = 0.0 meV per atom; total moment = 2.39 μB per formula unit
1.0
4.199 0.000 0.000
0.000 4.199 0.000
0.000 0.000 3.179
Ta Co Tc
1 1 2
Cartesian
0.000 0.000 0.000
2.100 2.100 0.000
0.000 2.100 1.589
2.100 0.000 1.589


(2)
TaCo4Tc, single point on PBEsol structure, DFT meta-GGA SCAN; DOS(E_F) = 1.01 states/eV/atom; symmetry = No. 216; formation energy = -48.9 meV per atom; total moment = 7.36 μB per formula unit
1.0
0.000 3.279 3.279
3.279 0.000 3.279
3.279 3.279 0.000
Ta Co Tc
1 4 1
Cartesian
0.000 0.000 0.000
4.095 2.464 2.464
2.464 4.095 2.464
2.464 2.464 4.095
4.095 4.095 4.095
1.640 1.640 1.640


(3)
TaCoTc2, single point on PBEsol structure, DFT meta-GGA SCAN; DOS(E_F) = 0.89 states/eV/atom; symmetry = No. 99; formation energy = -53.8 meV per atom; E above lowest polymorph = 58.3 meV per atom; total moment = 1.49 μB per formula unit
1.0
3.141 0.000 0.000
0.000 3.141 0.000
0.000 0.000 5.660
Ta Co Tc
1 1 2
Cartesian
0.000 0.000 0.000
1.570 1.570 4.474
0.000 0.000 2.963
1.570 1.570 1.662


(4)
TaCo2Tc, single point on PBEsol structure, DFT meta-GGA SCAN; DOS(E_F) = 0.83 states/eV/atom; symmetry = No. 166; formation energy = 267.9 meV per atom; total moment = 3.26 μB per formula unit
1.0
1.336 0.771 8.465
-1.336 0.771 8.465
0.000 -1.542 8.465
Ta Co Tc
1 2 1
Cartesian
0.000 0.000 0.000
0.000 0.000 6.260
0.000 0.000 19.134
0.000 0.000 12.697